Record 1
A geometry-optimized KBa2Ru structure. Source: the Alexandria database, functional GGA-PBE.

Energy above the lowest structure with this stoichiometry: 125.0 meV per atom
Raw total energy: -0.2254 Ry per atom
Formation enthalpy at 0 K: 487 meV per atom

extended XYZ file:
```
8
Lattice="3.817 0.000 0.000 0.000 4.833 0.000 0.000 0.000 20.178" Properties=species:S:1:pos:R:3 pbc="T T T"
K 0.000 0.000 0.000
K 1.908 2.417 10.089
Ba 0.000 0.000 6.340
Ba 0.000 2.417 3.223
Ba 1.908 0.000 13.312
Ba 1.908 2.417 16.429
Ru 0.000 2.417 14.117
Ru 1.908 0.000 4.028
```



Record 2
A geometry-optimized K2BaRu structure. Source: the Alexandria database, functional GGA-PBE.

Energy above the lowest structure with this stoichiometry: 425.8 meV per atom
Raw total energy: -0.1683 Ry per atom
Formation enthalpy at 0 K: 1059 meV per atom

extended XYZ file:
```
8
Lattice="6.406 0.000 0.000 0.000 12.844 0.000 0.000 0.000 3.777" Properties=species:S:1:pos:R:3 pbc="T T T"
K 1.601 3.211 0.000
K 1.601 9.633 0.000
K 4.804 3.211 0.000
K 4.804 9.633 0.000
Ba 0.000 0.000 1.888
Ba 3.203 6.422 1.888
Ru 0.000 6.422 1.888
Ru 3.203 0.000 1.888
```



Record 3
A geometry-optimized K2BaRu structure. Source: the Alexandria database, functional GGA-PBE.

Energy above the lowest structure with this stoichiometry: 28.1 meV per atom
Raw total energy: -0.1975 Ry per atom
Formation enthalpy at 0 K: 661 meV per atom

extended XYZ file:
```
4
Lattice="3.895 0.000 0.000 0.000 3.893 0.000 -0.064 0.000 11.529" Properties=species:S:1:pos:R:3 pbc="T T T"
K 0.000 0.000 0.000
K 1.876 1.947 4.032
Ba 1.880 1.947 7.722
Ru 3.826 0.000 6.267
```



Which value of energy above the lowest structure with this stoichiometry does entry 2 give? 425.8 meV per atom



Which formula does entry 2 have? K2BaRu



The lowest raw total energy belongs to which entry? KBa2Ru



What is the formation enthalpy at 0 K in the third record? 661 meV per atom